1.
Here is Tc2SbCl after structural relaxation from Alexandria. Energies are from PBE.

Output
As for the crystal system: monoclinic. The value obtained for the density of states at the Fermi level is 1.77 states/eV/f.u. Its formation energy without anion corrections is -0.0491 eV/atom.

a = 3.064 Å, b = 5.495 Å, c = 10.312 Å
α = 90.00°, β = 90.97°, γ = 90.00°
Space group Pm (No. 6)
Symmetry-distinct sites (fractional):
Tc (0.000, 0.000, 0.000)
Tc (0.018, 0.500, 0.337)
Tc (0.508, 0.271, 0.143)
Sb (0.019, 0.000, 0.324)
Sb (0.493, 0.500, 0.906)
Cl (0.529, 0.500, 0.517)
Cl (0.987, 0.000, 0.774)

***

2.
Here is CdIrRh2 after structural relaxation from Alexandria. Energies are from PBE.

Output
As for the crystal system: orthorhombic. The value obtained for the density of states at the Fermi level is 7.90 states/eV/f.u. The raw total energy is -23.37 eV per formula unit.

a = 2.860 Å, b = 4.656 Å, c = 4.721 Å
α = 90.00°, β = 90.00°, γ = 90.00°
Space group Pmmm (No. 47)
Symmetry-distinct sites (fractional):
Cd (0.000, 0.000, 0.000)
Ir (0.500, 0.000, 0.500)
Rh (0.000, 0.500, 0.500)
Rh (0.500, 0.500, 0.000)

***

3.
Here is MnRe2 after structural relaxation from Alexandria. Energies are from PBE.

Output
As for the crystal system: cubic. The value obtained for the density of states at the Fermi level is 2.61 states/eV/f.u. The raw total energy is -32.71 eV per formula unit.

a = 7.280 Å, b = 7.280 Å, c = 7.280 Å
α = 90.00°, β = 90.00°, γ = 90.00°
Space group Fd-3m (No. 227, origin choice 2)
Symmetry-distinct sites (fractional):
Mn (0.125, 0.125, 0.125)
Re (0.000, 0.000, 0.500)

***

4.
Here is BeZnTe2 after structural relaxation from Alexandria. Energies are from PBE.

Output
As for the crystal system: tetragonal. The value obtained for the density of states at the Fermi level is 0.00 states/eV/f.u. Its formation energy without anion corrections is -0.3934 eV/atom.

a = 4.172 Å, b = 4.172 Å, c = 5.970 Å
α = 90.00°, β = 90.00°, γ = 90.00°
Space group P-4m2 (No. 115)
Symmetry-distinct sites (fractional):
Be (0.000, 0.000, 0.000)
Zn (0.500, 0.500, 0.500)
Te (0.000, 0.500, 0.227)